Below is Na4Ti3CuS8 after structural relaxation, with properties calculated at the PBE level.

Output
Uncorrected formation energy   -18.51 eV per formula unit
Space group   R-3m, No. 166
DOS(E_F)   6.650 states/eV per cell

a b c (Å): 7.1929 7.7943 7.1948
angles (deg): 117.50 119.99 90.00
Last column: nearest neighbours and their distance in Å.
Element x y z (fractional)
1 Na 0.5000 0.0000 0.0000  6 S 2.82
2 Na 0.5000 0.0000 0.5000  6 S 2.81-2.86
3 Na 0.0000 0.0000 0.0000  6 S 2.82-2.86
4 Na 0.0000 0.0000 0.5000  6 S 2.81-2.86
5 Ti 0.5000 0.5000 0.0000  6 S 2.46-2.50
6 Ti 0.5000 0.5000 0.5000  6 S 2.46-2.50
7 Ti 0.0000 0.5000 0.5000  6 S 2.46-2.50
8 Cu 0.0000 0.5000 0.0000  6 S 2.51
9 S 0.2379 0.7053 0.9673  2 Ti 2.46, 1 Cu 2.51
10 S 0.2382 0.7055 0.4765  2 Ti 2.46, 1 Cu 2.51
11 S 0.2627 0.2881 0.5255  3 Ti 2.50
12 S 0.7294 0.7053 0.9673  2 Ti 2.46, 1 Cu 2.51
13 S 0.2706 0.2947 0.0327  2 Ti 2.46, 1 Cu 2.51
14 S 0.7373 0.7119 0.4745  3 Ti 2.50
15 S 0.7618 0.2945 0.5235  2 Ti 2.46, 1 Cu 2.51
16 S 0.7621 0.2947 0.0327  2 Ti 2.46, 1 Cu 2.51